# Li2FeGeO4

Li2FeGeO4 after structural relaxation (PBE with a Hubbard U, the Alexandria database).

a b c (Å): 5.1027 5.5193 6.5009
angles (deg): 90.00 90.00 90.00
Last column: nearest neighbours and their distance in Å.
Atoms (fractional coordinates):
1 Li 0.4995 0.3323 0.7501  4 O 1.98-2.01
2 Li 0.9995 0.6677 0.7499  4 O 1.98-2.01
3 Li 0.9995 0.6677 0.2501  4 O 1.98-2.01
4 Li 0.4995 0.3323 0.2499  4 O 1.98-2.01
5 Fe 0.5038 0.8224 0.5000  4 O 2.02-2.08
6 Fe 0.0038 0.1776 0.0000  4 O 2.02-2.08
7 Ge 0.9922 0.1684 0.5000  4 O 1.78-1.79
8 Ge 0.4922 0.8316 0.0000  4 O 1.78-1.79
9 O 0.0972 0.8594 0.5000  1 Ge 1.79, 2 Li 2.00
10 O 0.5972 0.1406 0.0000  1 Ge 1.79, 2 Li 2.00
11 O 0.6430 0.1743 0.5000  1 Ge 1.78, 2 Li 1.98
12 O 0.1430 0.8257 0.0000  1 Ge 1.78, 2 Li 1.98
13 O 0.1063 0.3212 0.7250  1 Ge 1.79, 1 Li 2.00
14 O 0.6063 0.6788 0.7750  1 Ge 1.79, 1 Li 2.00
15 O 0.6063 0.6788 0.2250  1 Ge 1.79, 1 Li 2.00
16 O 0.1063 0.3212 0.2750  1 Ge 1.79, 1 Li 2.00

Properties
symmetry	Pmn2_1 (31)
calculated total energy	-6.092	eV per atom